Below is an optimized crystal structure of Pr7Y12Ho, with properties calculated at the GGA-PBE level.

The calculation puts the density at 5.300 Mg/m³. The formation energy comes out at 0.23 eV per atom. Its distance to the lowest polymorph of the same formula is 0.00 kcal/mol of atoms. For the density of states at the Fermi level, the calculation gives 37.94 states/eV/cell.

Cell and atoms, written as extended XYZ:
```
20
Lattice="6.047 3.491 5.487 -6.047 3.491 5.487 0.000 -6.983 5.487" Properties=species:S:1:pos:R:3 pbc="T T T"
Pr 0.000 0.000 0.000
Pr -1.913 -0.592 4.752
Pr 1.469 -1.361 4.752
Pr 0.444 1.952 4.752
Pr -0.444 -1.952 11.708
Pr -1.469 1.361 11.708
Pr 1.913 0.592 11.708
Y -5.341 0.569 6.863
Y -3.164 -4.341 9.597
Y -0.778 -3.194 7.326
Y -3.155 -0.923 9.134
Y -2.377 2.270 7.326
Y 2.178 -4.910 6.863
Y -2.178 4.910 9.597
Y 2.377 -2.270 9.134
Y 3.155 0.923 7.326
Y 0.778 3.194 9.134
Y 3.164 4.341 6.863
Y 5.341 -0.569 9.597
Ho 0.000 0.000 8.230
```